(a)
Ca4TlRu | Alexandria via LeMat-Bulk | PBE | optimized geometry; density of states at the Fermi level = 1.4667 states/eV/atom
1.0
0.0000 4.3733 4.3733
4.3733 0.0000 4.3733
4.3733 4.3733 0.0000
Ca Tl Ru
4 1 1
Direct
0.1240 0.1240 0.1240
0.1240 0.1240 0.6279
0.1240 0.6279 0.1240
0.6279 0.1240 0.1240
0.5000 0.5000 0.5000
0.7500 0.7500 0.7500

=====

(b)
Ca4TlRu | Alexandria via LeMat-Bulk | PBE | optimized geometry; density of states at the Fermi level = 0.6066 states/eV/atom
1.0
4.6149 -7.0483 0.0000
4.6149 7.0483 0.0000
-1.8184 0.0000 5.4203
Ca Tl Ru
8 2 2
Direct
0.0553 0.7150 0.9381
0.2191 0.3647 0.6465
0.2850 0.9447 0.5619
0.3647 0.2191 0.1465
0.6353 0.7809 0.8535
0.7150 0.0553 0.4381
0.7809 0.6353 0.3535
0.9447 0.2850 0.0619
0.3677 0.6323 0.2500
0.6323 0.3677 0.7500
0.0015 0.9985 0.7500
0.9985 0.0015 0.2500

=====

Which of them is the most stable, and which is the least stable? (b) and (a), in that order.

=====

(a)
CaTm2Ru | Alexandria via LeMat-Bulk | PBE | optimized geometry; density of states at the Fermi level = 0.4796 states/eV/atom
1.0
3.4152 0.0000 0.0000
0.0000 3.4152 0.0000
0.0000 0.0000 9.3019
Ca Tm Ru
1 2 1
Direct
0.0000 0.0000 0.0000
0.5000 0.5000 0.3272
0.5000 0.5000 0.6728
0.0000 0.0000 0.5000

=====

(b)
CaTm2Ru | Alexandria via LeMat-Bulk | PBE | optimized geometry; density of states at the Fermi level = 0.5958 states/eV/atom
1.0
1.9808 1.1436 9.1013
-1.9808 1.1436 9.1013
0.0000 -2.2873 9.1013
Ca Tm Ru
1 2 1
Direct
0.0000 0.0000 0.0000
0.2190 0.2190 0.2190
0.7810 0.7810 0.7810
0.5000 0.5000 0.5000

=====

Which of them is the most stable, and which is the least stable? (a) and (b), in that order.

=====

(a)
CaRuW | Alexandria via LeMat-Bulk | PBE | optimized geometry; density of states at the Fermi level = 1.3549 states/eV/atom
1.0
0.0000 3.1436 3.1436
3.1436 0.0000 3.1436
3.1436 3.1436 0.0000
Ca Ru W
1 1 1
Direct
0.0000 0.0000 0.0000
0.2500 0.2500 0.2500
0.5000 0.5000 0.5000

=====

(b)
CaRuW | Alexandria via LeMat-Bulk | PBE | optimized geometry; density of states at the Fermi level = 0.8914 states/eV/atom
1.0
2.9713 0.0000 0.0000
-1.4856 2.5732 0.0000
0.0000 0.0000 7.2100
Ca Ru W
1 1 1
Direct
0.0000 0.0000 0.0000
0.6667 0.3333 0.3498
0.3333 0.6667 0.6229

=====

Which of them is the most stable, and which is the least stable? (b) and (a), in that order.

=====

(a)
Ca2Ru2W | Alexandria via LeMat-Bulk | PBE | optimized geometry; density of states at the Fermi level = 0.9584 states/eV/atom
1.0
6.4850 0.0000 0.0000
0.0000 6.4850 0.0000
0.0000 0.0000 4.9513
Ca Ru W
4 4 2
Direct
0.1784 0.3216 0.0000
0.3216 0.8216 0.0000
0.6784 0.1784 0.0000
0.8216 0.6784 0.0000
0.1350 0.6350 0.5000
0.3650 0.1350 0.5000
0.6350 0.8650 0.5000
0.8650 0.3650 0.5000
0.0000 0.0000 0.5000
0.5000 0.5000 0.5000

=====

(b)
Ca2Ru2W | Alexandria via LeMat-Bulk | PBE | optimized geometry; density of states at the Fermi level = 1.5140 states/eV/atom
1.0
8.1607 0.0000 0.0000
0.0000 8.1607 0.0000
0.0000 0.0000 2.8127
Ca Ru W
4 4 2
Direct
0.1209 0.3791 0.0000
0.3791 0.8791 0.0000
0.6209 0.1209 0.0000
0.8791 0.6209 0.0000
0.1865 0.6865 0.5000
0.3135 0.1865 0.5000
0.6865 0.8135 0.5000
0.8135 0.3135 0.5000
0.0000 0.0000 0.0000
0.5000 0.5000 0.0000

=====

(c)
Ca2Ru2W | Alexandria via LeMat-Bulk | PBE | optimized geometry; density of states at the Fermi level = 0.7967 states/eV/atom
1.0
-1.6912 1.6912 9.8792
1.6912 -1.6912 9.8792
1.6912 1.6912 -9.8792
Ca Ru W
2 2 1
Direct
0.1136 0.1136 0.0000
0.8864 0.8864 0.0000
0.2500 0.7500 0.5000
0.7500 0.2500 0.5000
0.5000 0.5000 0.0000

=====

Which of them is the most stable, and which is the least stable? (a) and (b), in that order.

=====

(a)
CaY2Ru | Alexandria via LeMat-Bulk | PBE | optimized geometry; density of states at the Fermi level = 0.7559 states/eV/atom
1.0
-2.2027 2.2027 5.1506
2.2027 -2.2027 5.1506
2.2027 2.2027 -5.1506
Ca Y Ru
1 2 1
Direct
0.0000 0.0000 0.0000
0.5000 0.5000 0.0000
0.7500 0.2500 0.5000
0.2500 0.7500 0.5000

=====

(b)
CaY2Ru | Alexandria via LeMat-Bulk | PBE | optimized geometry; density of states at the Fermi level = 1.3304 states/eV/atom
1.0
3.4998 -3.5101 0.0000
3.4998 3.5101 0.0000
0.0000 0.0000 4.0777
Ca Y Ru
1 2 1
Direct
0.0000 0.0000 0.0000
0.0000 0.5000 0.5000
0.5000 0.0000 0.5000
0.5000 0.5000 0.0000

=====

(c)
CaY2Ru | Alexandria via LeMat-Bulk | PBE | optimized geometry; density of states at the Fermi level = 1.1473 states/eV/atom
1.0
0.0000 3.6602 3.6602
3.6602 0.0000 3.6602
3.6602 3.6602 0.0000
Ca Y Ru
1 2 1
Direct
0.0000 0.0000 0.0000
0.2500 0.2500 0.2500
0.7500 0.7500 0.7500
0.5000 0.5000 0.5000

=====

Which of them is the most stable, and which is the least stable? (c) and (a), in that order.

=====

(a)
CaY2Ru | Alexandria via LeMat-Bulk | PBE | optimized geometry; density of states at the Fermi level = 1.0274 states/eV/atom
1.0
0.0000 3.6688 3.6688
3.6688 0.0000 3.6688
3.6688 3.6688 0.0000
Ca Y Ru
1 2 1
Direct
0.0000 0.0000 0.0000
0.2500 0.2500 0.2500
0.5000 0.5000 0.5000
0.7500 0.7500 0.7500

=====

(b)
CaY2Ru | Alexandria via LeMat-Bulk | PBE | optimized geometry; density of states at the Fermi level = 0.9038 states/eV/atom
1.0
-4.3342 4.3342 3.2002
4.3342 -4.3342 3.2002
4.3342 4.3342 -3.2002
Ca Y Ru
2 4 2
Direct
0.0000 0.0000 0.0000
0.7500 0.2500 0.5000
0.2168 0.6250 0.0918
0.3750 0.4668 0.5918
0.5332 0.1250 0.9082
0.8750 0.7832 0.4082
0.2500 0.7500 0.5000
0.5000 0.5000 0.0000

=====

Which of them is the most stable, and which is the least stable? (b) and (a), in that order.